Here is a relaxed structure of Ag2PtRh from the Alexandria database. Energies are from PBEsol.

The calculation puts the relative energy among the computed polymorphs at 0.000 eV per atom. As for the total magnetization: 0.076 μB per atom. The crystal system is tetragonal. The calculated formation energy comes out at 0.08 eV per atom.

It has space group P4mm (No. 99), with a = 2.749 Å, b = 2.749 Å, c = 8.101 Å, α = 90.00°, β = 90.00° and γ = 90.00°. The distinct sites, in fractional coordinates, are Ag at (0.000, 0.000, 0.000), Ag at (0.500, 0.500, 0.262), Pt at (0.000, 0.000, 0.521) and Rh at (0.500, 0.500, 0.748).